## CaNi2O4 (GGA+U)

Data for CaNi2O4 after structural relaxation.

## Properties
SG: P-1 (2)
D(E_F): 0.04 states/eV/cell
Total energy: -71.8 eV for the cell shown
M_tot: 2.00 μB/f.u.
Crystal system: triclinic

Unit cell a=5.9426 b=5.3237 c=5.7275 alpha=102.76 beta=106.52 gamma=106.92
With the nearest neighbours (Å) after each atom.
Element x y z (fractional)
O1 0.2274 0.1541 0.3608  2 Ni 1.84-1.88
O2 0.6310 0.2986 0.2949  1 Ni 1.89
Ni1 0.5000 0.5000 0.5000  6 O 1.88-1.90
Ni2 0.5000 0.0000 0.5000  4 O 2.01-2.06
Ni3 0.0000 0.0000 0.5000  4 O 1.80-1.84
O3 0.1803 0.2026 0.8356  2 Ni 1.80-1.89
Ni4 0.5000 0.5000 0.0000  4 O 1.89-1.92
O4 0.6545 0.3790 0.7689  3 Ni 1.90-2.01
O5 0.7726 0.8459 0.6392  2 Ni 1.84-1.88
Ca1 0.8824 0.2218 0.0771  4 O 2.27-2.40
O6 0.3690 0.7014 0.7051  1 Ni 1.89
O7 0.3455 0.6210 0.2311  3 Ni 1.90-2.01
O8 0.8197 0.7974 0.1644  2 Ni 1.80-1.89
Ca2 0.1176 0.7782 0.9229  4 O 2.27-2.40